# 1
A relaxed TbLuMnAg crystal. Source: the Alexandria database, functional PBE-GGA.

The structure in POSCAR format:
```
TbLuMnAg
1.0
-4.8439 0.1766 1.4177
-1.2135 -0.3367 4.8907
-1.7688 4.0481 2.4473
Ag Lu Mn Tb
1 1 1 1
Cartesian
-3.9131 1.9440 4.3778
-1.9566 0.9720 2.1889
0.0000 0.0000 0.0000
-5.8697 2.9160 6.5668
```

Summary:
E_form (eV/atom): -0.016
VASP energy (eV per atom): -5.3094
DOS at the Fermi energy (states/eV per cell): 4.0
Space group: F-43m (216)
Crystal system: cubic

# 2
A relaxed CeLuS2 crystal. Source: the Alexandria database, functional PBE-GGA.

The structure in POSCAR format:
```
CeLuS2
1.0
3.8707 0.0000 0.0000
1.9354 3.3521 0.0000
1.9354 1.1174 6.5567
S Ce Lu
2 1 1
Cartesian
1.9354 1.1174 1.5001
5.8061 3.3521 5.0567
3.8707 2.2348 3.2784
0.0000 0.0000 0.0000
```

Summary:
VASP energy (eV per atom): -6.6590
DOS at the Fermi energy (states/eV per cell): 5.3
Space group: R-3m (166)
Crystal system: trigonal
Formation energy without anion corrections (eV per atom): -1.982

# 3
A relaxed AlCo2Se crystal. Source: the Alexandria database, functional PBE-GGA.

The structure in POSCAR format:
```
AlCo2Se
1.0
-2.1126 1.5547 7.2119
0.7790 0.9428 7.5760
-0.0717 3.6711 6.7386
Co Se Al
2 1 1
Cartesian
-0.3509 1.5405 5.3757
-1.4026 6.1573 21.4872
-0.7177 3.1506 10.9947
-1.0417 4.5728 15.9577
```

Summary:
VASP energy (eV per atom): -5.2002
DOS at the Fermi energy (states/eV per cell): 3.7
Space group: R3m (160)
Crystal system: trigonal
Energy above the most stable polymorph in this dataset (eV/atom): 0.2506
Formation energy without anion corrections (eV per atom): 0.160

# 4
A relaxed NdScAgPt crystal. Source: the Alexandria database, functional PBE-GGA.

The structure in POSCAR format:
```
NdScAgPt
1.0
-0.3344 -3.6611 -3.3749
3.1340 -3.8783 0.2068
-1.6825 -4.4983 1.3566
Pt Ag Sc Nd
1 1 1 1
Cartesian
0.2793 -3.0094 -0.4529
0.8378 -9.0283 -1.3587
0.5585 -6.0188 -0.9058
0.0000 0.0000 0.0000
```

Summary:
E_form (eV/atom): -0.654
VASP energy (eV per atom): -5.6514
DOS at the Fermi energy (states/eV per cell): 2.3
Space group: F-43m (216)
Crystal system: cubic

# 5
A relaxed LaAl2ZnCu4 crystal. Source: the Alexandria database, functional PBE-GGA.

The structure in POSCAR format:
```
LaAl2ZnCu4
1.0
-3.6038 0.8100 1.9781
-2.2399 -3.1376 1.6417
2.4053 0.0823 8.7862
Zn Cu Al La
1 4 2 1
Cartesian
-1.7192 -1.1227 6.2030
-2.9321 -1.3618 4.0911
-4.0885 -1.9816 6.6759
-0.5063 -0.8836 8.3148
0.6501 -0.2637 5.7300
-2.7373 -1.7153 9.0284
-0.7011 -0.5301 3.3775
0.0000 0.0000 0.0000
```

Summary:
E_form (eV/atom): -0.233
VASP energy (eV per atom): -3.9917
DOS at the Fermi energy (states/eV per cell): 3.6
Space group: R-3m (166)
Crystal system: trigonal

# 6
A relaxed Sc2ZnFe crystal. Source: the Alexandria database, functional PBE-GGA.

The structure in POSCAR format:
```
Sc2ZnFe
1.0
-4.5772 8.1407 2.9137
-1.7542 8.8992 3.6659
-2.7393 9.3535 0.8491
Zn Sc Fe
1 2 1
Cartesian
-4.5353 13.1967 3.7143
-8.2866 24.1120 6.7865
-0.7841 2.2814 0.6421
0.0000 0.0000 0.0000
```

Summary:
E_form (eV/atom): 0.348
VASP energy (eV per atom): -5.2521
DOS at the Fermi energy (states/eV per cell): 5.3
Space group: R-3m (166)
Crystal system: trigonal